Density functional theory data (GGA-PBE) for a relaxed Si5Ru4 crystal.

**Density**: 7480 kg/m³
**Offset from the most stable computed form**: 0.00 kcal/mol of atoms
**E_form (uncorrected)**: -0.247 eV/atom
**Space-group type**: P6_3/mcm, No. 193

a b c (Å): 7.241 7.241 5.326
angles (deg): 90.00 90.00 120.00
Sites, in units of the cell vectors:
Ru 0.000 0.000 0.000
Ru 0.000 0.000 0.500
Ru 0.000 0.394 0.250
Ru 0.606 0.606 0.250
Ru 0.394 0.000 0.250
Ru 0.000 0.606 0.750
Ru 0.394 0.394 0.750
Ru 0.606 0.000 0.750
Si 0.000 0.717 0.250
Si 0.283 0.283 0.250
Si 0.717 0.000 0.250
Si 0.000 0.283 0.750
Si 0.717 0.717 0.750
Si 0.283 0.000 0.750
Si 0.667 0.333 0.000
Si 0.333 0.667 0.500
Si 0.333 0.667 0.000
Si 0.667 0.333 0.500



Density functional theory data (GGA-PBE) for a relaxed Sc2NiPdC crystal.

**Density**: 5834 kg/m³
**Space-group type**: P4/mmm, No. 123
**ΔH_f (0 K)**: -585 meV/atom

a b c (Å): 4.570 4.570 3.640
angles (deg): 90.00 90.00 90.00
Sites, in units of the cell vectors:
Sc 0.000 0.500 0.000
Sc 0.500 0.000 0.000
Ni 0.000 0.000 0.500
C 0.000 0.000 0.000
Pd 0.500 0.500 0.500



One value per record, in order, for electronic total energy: -132.891, -35.785 eV for the cell shown.